1.
A plane-wave DFT calculation with PBE-GGA was carried out for a geometry-optimized CdTe2Pt2F2 structure.

```
CdTe2Pt2F2
1.0
3.6914 0.0000 0.0000
0.0000 3.6914 0.0000
0.0000 0.0000 9.6905
Cd Te Pt F
1 2 2 2
Direct
0.0000 0.0000 0.0000 Cd
0.0000 0.5000 0.2406 Te
0.5000 0.0000 0.7594 Te
0.0000 0.5000 0.6711 Pt
0.5000 0.0000 0.3289 Pt
0.0000 0.0000 0.5000 F
0.5000 0.5000 0.5000 F
```

Calculated values
The calculation puts the calculated volume at 18.9 Å³ per atom. The value obtained for the total energy is -3.63 eV/atom.

2.
A plane-wave DFT calculation with PBE-GGA was carried out for a geometry-optimized TaGaAu2 structure.

```
TaGaAu2
1.0
6.5357 0.0000 0.0000
0.0000 6.5357 0.0000
0.0000 0.0000 6.5357
Ta Ga Au
4 4 8
Direct
0.0000 0.0000 0.0000 Ta
0.0000 0.5000 0.5000 Ta
0.5000 0.0000 0.5000 Ta
0.5000 0.5000 0.0000 Ta
0.2500 0.2500 0.7500 Ga
0.2500 0.7500 0.2500 Ga
0.7500 0.2500 0.2500 Ga
0.7500 0.7500 0.7500 Ga
0.0000 0.0000 0.5000 Au
0.0000 0.5000 0.0000 Au
0.2500 0.2500 0.2500 Au
0.2500 0.7500 0.7500 Au
0.5000 0.0000 0.0000 Au
0.5000 0.5000 0.5000 Au
0.7500 0.2500 0.7500 Au
0.7500 0.7500 0.2500 Au
```

Calculated values
The calculation puts the calculated volume at 17.4 Å³ per atom. The value obtained for the total energy is -5.25 eV/atom.

3.
A plane-wave DFT calculation with PBE-GGA was carried out for a geometry-optimized PuCo4P2 structure.

```
PuCo4P2
1.0
6.9548 0.0000 0.0000
0.0000 6.9548 0.0000
0.0000 0.0000 3.5497
Pu Co P
2 8 4
Direct
0.0000 0.0000 0.0000 Pu
0.5000 0.5000 0.5000 Pu
0.0862 0.3410 0.5000 Co
0.1590 0.5862 0.0000 Co
0.3410 0.0862 0.5000 Co
0.4138 0.8410 0.0000 Co
0.5862 0.1590 0.0000 Co
0.6590 0.9138 0.5000 Co
0.8410 0.4138 0.0000 Co
0.9138 0.6590 0.5000 Co
0.2200 0.7800 0.5000 P
0.2800 0.2800 0.0000 P
0.7200 0.7200 0.0000 P
0.7800 0.2200 0.5000 P
```

Calculated values
The calculation puts the calculated volume at 12.3 Å³ per atom. The value obtained for the total energy is -8.06 eV/atom.

4.
A plane-wave DFT calculation with PBE-GGA was carried out for a geometry-optimized ScBeCu4B2 structure.

```
ScBeCu4B2
1.0
3.6779 0.0000 0.0000
0.0000 3.6779 0.0000
0.0000 0.0000 6.4598
Sc Be Cu B
1 1 4 2
Direct
0.0000 0.0000 0.0000 Sc
0.5000 0.5000 0.5000 Be
0.0000 0.5000 0.2972 Cu
0.0000 0.5000 0.7028 Cu
0.5000 0.0000 0.2972 Cu
0.5000 0.0000 0.7028 Cu
0.0000 0.0000 0.5000 B
0.5000 0.5000 0.0000 B
```

Calculated values
The calculation puts the calculated volume at 10.9 Å³ per atom. The value obtained for the total energy is -4.57 eV/atom.

5.
A plane-wave DFT calculation with PBE-GGA was carried out for a geometry-optimized CsNaZrSe3 structure.

```
CsNaZrSe3
1.0
9.3503 0.0000 0.0000
0.0000 4.1094 0.0000
-3.6508 0.0000 9.7604
Cs Na Zr Se
2 2 2 6
Direct
0.2379 0.2500 0.2638 Cs
0.7621 0.7500 0.7362 Cs
0.0617 0.2500 0.6080 Na
0.9383 0.7500 0.3920 Na
0.3263 0.7500 0.8524 Zr
0.6737 0.2500 0.1476 Zr
0.1447 0.2500 0.8865 Se
0.2516 0.7500 0.5827 Se
0.4691 0.7500 0.1350 Se
0.5309 0.2500 0.8650 Se
0.7484 0.2500 0.4173 Se
0.8553 0.7500 0.1135 Se
```

Calculated values
The calculation puts the calculated volume at 31.3 Å³ per atom. The value obtained for the total energy is -4.77 eV/atom.

6.
A plane-wave DFT calculation with PBE-GGA was carried out for a geometry-optimized NdThBi structure.

```
NdThBi
1.0
7.5400 0.0000 0.0000
0.0000 7.5400 0.0000
0.0000 0.0000 7.5400
Nd Th Bi
4 4 4
Direct
0.0000 0.0000 0.0000 Nd
0.0000 0.5000 0.5000 Nd
0.5000 0.0000 0.5000 Nd
0.5000 0.5000 0.0000 Nd
0.0000 0.0000 0.5000 Th
0.0000 0.5000 0.0000 Th
0.5000 0.0000 0.0000 Th
0.5000 0.5000 0.5000 Th
0.2500 0.2500 0.2500 Bi
0.2500 0.7500 0.7500 Bi
0.7500 0.2500 0.7500 Bi
0.7500 0.7500 0.2500 Bi
```

Calculated values
The calculation puts the calculated volume at 35.7 Å³ per atom. The value obtained for the total energy is -5.56 eV/atom.

7.
A plane-wave DFT calculation with PBE-GGA was carried out for a geometry-optimized NdCuTe2PbS structure.

```
NdCuTe2PbS
1.0
2.1209 -7.2375 0.0000
2.1209 7.2375 0.0000
0.0000 0.0000 10.6730
Nd Cu Te Pb S
2 2 4 2 2
Direct
0.0000 0.0000 0.0000 Nd
0.0000 0.0000 0.5000 Nd
0.4778 0.5222 0.7500 Cu
0.5222 0.4778 0.2500 Cu
0.3487 0.6513 0.5708 Te
0.3487 0.6513 0.9292 Te
0.6513 0.3487 0.0708 Te
0.6513 0.3487 0.4292 Te
0.2742 0.7258 0.2500 Pb
0.7258 0.2742 0.7500 Pb
0.0650 0.9350 0.7500 S
0.9350 0.0650 0.2500 S
```

Calculated values
The calculation puts the calculated volume at 27.3 Å³ per atom. The value obtained for the total energy is -4.59 eV/atom.

8.
A plane-wave DFT calculation with PBE-GGA was carried out for a geometry-optimized NaNdB4 structure.

```
NaNdB4
1.0
3.1733 0.0000 0.0000
-1.5866 2.7482 0.0000
0.0000 0.0000 8.4942
Na Nd B
1 1 4
Direct
0.0000 0.0000 0.0000 Na
0.0000 0.0000 0.5000 Nd
0.3333 0.6667 0.2491 B
0.3333 0.6667 0.7509 B
0.6667 0.3333 0.2491 B
0.6667 0.3333 0.7509 B
```

Calculated values
The calculation puts the calculated volume at 12.3 Å³ per atom. The value obtained for the total energy is -5.39 eV/atom.

9.
A plane-wave DFT calculation with PBE-GGA was carried out for a geometry-optimized Tb3In3AgPd2 structure.

```
Tb3In3AgPd2
1.0
7.7442 0.0000 0.0000
-3.8721 6.7066 0.0000
0.0000 0.0000 3.9092
Tb In Ag Pd
3 3 1 2
Direct
0.0000 0.5879 0.0000 Tb
0.4121 0.4121 0.0000 Tb
0.5879 0.0000 0.0000 Tb
0.0000 0.2637 0.5000 In
0.2637 0.0000 0.5000 In
0.7363 0.7363 0.5000 In
0.0000 0.0000 0.0000 Ag
0.3333 0.6667 0.5000 Pd
0.6667 0.3333 0.5000 Pd
```

Calculated values
The calculation puts the calculated volume at 22.6 Å³ per atom. The value obtained for the total energy is -4.61 eV/atom.

10.
A plane-wave DFT calculation with PBE-GGA was carried out for a geometry-optimized YCo2Sb structure.

```
YCo2Sb
1.0
6.5860 0.0000 0.0000
0.0000 6.5860 0.0000
0.0000 0.0000 6.5860
Y Co Sb
4 8 4
Direct
0.0000 0.0000 0.0000 Y
0.0000 0.5000 0.5000 Y
0.5000 0.0000 0.5000 Y
0.5000 0.5000 0.0000 Y
0.0000 0.0000 0.5000 Co
0.0000 0.5000 0.0000 Co
0.2500 0.2500 0.2500 Co
0.2500 0.7500 0.7500 Co
0.5000 0.0000 0.0000 Co
0.5000 0.5000 0.5000 Co
0.7500 0.2500 0.7500 Co
0.7500 0.7500 0.2500 Co
0.2500 0.2500 0.7500 Sb
0.2500 0.7500 0.2500 Sb
0.7500 0.2500 0.2500 Sb
0.7500 0.7500 0.7500 Sb
```

Calculated values
The calculation puts the calculated volume at 17.9 Å³ per atom. The value obtained for the total energy is -6.05 eV/atom.

11.
A plane-wave DFT calculation with PBE-GGA was carried out for a geometry-optimized Cu7Ag3 structure.

```
Cu7Ag3
1.0
2.7521 0.0000 0.0000
0.0000 3.5486 0.0000
0.0000 0.0000 14.0284
Cu Ag
7 3
Direct
0.0000 0.0000 0.0000 Cu
0.0000 0.0000 0.1795 Cu
0.0000 0.0000 0.7837 Cu
0.5000 0.5000 0.0884 Cu
0.5000 0.5000 0.2680 Cu
0.5000 0.5000 0.4819 Cu
0.5000 0.5000 0.6968 Cu
0.0000 0.0000 0.3757 Ag
0.0000 0.0000 0.5882 Ag
0.5000 0.5000 0.8923 Ag
```

Calculated values
The calculation puts the calculated volume at 13.7 Å³ per atom. The formation energy from the elements is 0.082 eV/atom. The value obtained for the total energy is -3.37 eV/atom.

12.
A plane-wave DFT calculation with PBE-GGA was carried out for a geometry-optimized Ho2B2O5 structure.

```
Ho2B2O5
1.0
3.4569 0.0000 0.0000
0.0000 3.4569 0.0000
0.0000 0.0000 6.6961
Ho B O
2 2 5
Direct
0.0000 0.0000 0.0000 Ho
0.0000 0.0000 0.5000 Ho
0.5000 0.5000 0.2380 B
0.5000 0.5000 0.7620 B
0.0000 0.5000 0.2408 O
0.0000 0.5000 0.7592 O
0.5000 0.0000 0.2408 O
0.5000 0.0000 0.7592 O
0.5000 0.5000 0.5000 O
```

Calculated values
The calculation puts the calculated volume at 8.9 Å³ per atom. The value obtained for the total energy is -7.21 eV/atom.

For each record above, in turn, the calculated density values are 10.01, 15.34, 10.48, 6.27, 4.29, 9.07, 7.12, 4.72, 9.34, 7.64, 9.31, 8.95 g/cm³.